Material: Na3In2Hg2
Method: DFT, PBE-GGA
State: optimized geometry

* excess energy over the best structure of this formula in the dataset: 0.0000 eV per atom
* size of the total moment: 0.00 μB per cell
* symmetry: C2/m, No. 12

Unit cell a=5.1279 b=5.1279 c=8.4474 alpha=90.82 beta=107.11 gamma=119.46
With the nearest neighbours (Å) after each atom.
Fractional positions:
1 In 0.1875 0.5936 0.7811  4 Hg 2.97-3.27
2 In 0.8125 0.4064 0.2189  4 Hg 2.97-3.27
3 Hg 0.5385 0.2677 0.8062  4 In 2.97-3.27, 1 Na 3.13
4 Hg 0.4615 0.7323 0.1938  4 In 2.97-3.27, 1 Na 3.13
5 Na 0.0000 0.0000 0.0000  2 Na 3.26, 6 Hg 3.34, 6 In 3.41-3.45
6 Na 0.7265 0.8623 0.5888  4 Hg 3.13-3.45, 4 Na 3.26-3.30, 3 In 3.34
7 Na 0.2735 0.1377 0.4112  4 Hg 3.13-3.45, 4 Na 3.26-3.30, 3 In 3.34